Entry from the Alexandria database: a crystal of MgScRu relaxed with PBEsol (SCAN).

DFT formation energy = -0.3668 eV/atom
density of states at the Fermi level = 3.2 states/eV per cell

abc: 3.240 3.240 10.253
angles: 90.00 90.00 90.00
Positions (direct):
1 Mg 0.000 0.000 0.000
2 Mg 0.500 0.500 0.500
3 Sc 0.000 0.000 0.281
4 Sc 0.500 0.500 0.781
5 Ru 0.000 0.000 0.650
6 Ru 0.500 0.500 0.150

Entry from the Alexandria database: a crystal of CuH6SO7 relaxed with PBEsol (SCAN).

density of states at the Fermi level = 0.0 states/eV per cell
final energy = -7.13 eV/atom

abc: 7.315 7.315 7.164
angles: 93.31 93.31 136.72
Positions (direct):
1 Cu 0.140 0.860 0.500
2 Cu 0.860 0.140 0.000
3 H 0.038 0.855 0.146
4 H 0.108 0.494 0.779
5 H 0.279 0.615 0.987
6 H 0.494 0.108 0.279
7 H 0.545 0.858 0.679
8 H 0.571 0.739 0.208
9 H 0.586 0.656 0.999
10 H 0.615 0.279 0.487
11 H 0.656 0.586 0.499
12 H 0.739 0.571 0.708
13 H 0.855 0.038 0.646
14 H 0.858 0.545 0.179
15 S 0.178 0.397 0.426
16 S 0.397 0.178 0.926
17 O 0.003 0.333 0.257
18 O 0.066 0.152 0.500
19 O 0.089 0.487 0.918
20 O 0.152 0.066 0.000
21 O 0.198 0.568 0.572
22 O 0.333 0.003 0.757
23 O 0.452 0.556 0.377
24 O 0.487 0.089 0.418
25 O 0.556 0.452 0.877
26 O 0.568 0.198 0.072
27 O 0.587 0.781 0.074
28 O 0.726 0.955 0.742
29 O 0.781 0.587 0.574
30 O 0.955 0.726 0.242

Entry from the Alexandria database: a crystal of MgIn2Tc relaxed with PBEsol (SCAN).

DFT formation energy = 0.0656 eV/atom
density of states at the Fermi level = 2.8 states/eV per cell

abc: 3.508 3.508 6.000
angles: 90.00 90.00 90.00
Positions (direct):
1 Mg 0.000 0.000 0.000
2 In 0.500 0.500 0.265
3 In 0.500 0.500 0.735
4 Tc 0.000 0.000 0.500

Entry from the Alexandria database: a crystal of NbH2 relaxed with PBEsol (SCAN).

density of states at the Fermi level = 3.4 states/eV per cell
final energy = -13.59 eV/atom

abc: 4.521 4.521 4.521
angles: 90.00 90.00 90.00
Positions (direct):
1 Nb 0.000 0.000 0.000
2 Nb 0.000 0.500 0.500
3 Nb 0.500 0.000 0.500
4 Nb 0.500 0.500 0.000
5 H 0.250 0.250 0.250
6 H 0.250 0.250 0.750
7 H 0.250 0.750 0.250
8 H 0.250 0.750 0.750
9 H 0.750 0.250 0.250
10 H 0.750 0.250 0.750
11 H 0.750 0.750 0.250
12 H 0.750 0.750 0.750

Entry from the Alexandria database: a crystal of Li3Cr5O8 relaxed with PBEsol (SCAN).

formation energy (no corrections) = -2.306 eV/atom
density of states at the Fermi level = 4.6 states/eV per cell

abc: 5.829 5.829 5.829
angles: 59.96 59.96 59.96
Positions (direct):
1 Li 0.000 0.500 0.500
2 Li 0.500 0.000 0.500
3 Li 0.500 0.500 0.000
4 Cr 0.000 0.000 0.000
5 Cr 0.000 0.000 0.500
6 Cr 0.000 0.500 0.000
7 Cr 0.500 0.000 0.000
8 Cr 0.500 0.500 0.500
9 O 0.237 0.750 0.750
10 O 0.242 0.242 0.242
11 O 0.250 0.250 0.763
12 O 0.250 0.763 0.250
13 O 0.750 0.237 0.750
14 O 0.750 0.750 0.237
15 O 0.758 0.758 0.758
16 O 0.763 0.250 0.250

Entry from the Alexandria database: a crystal of MgTcBi3 relaxed with PBEsol (SCAN).

DFT formation energy = 0.5720 eV/atom
density of states at the Fermi level = 2.7 states/eV per cell

abc: 5.278 5.278 5.278
angles: 90.00 90.00 90.00
Positions (direct):
1 Mg 0.000 0.000 0.000
2 Tc 0.500 0.500 0.500
3 Bi 0.000 0.500 0.500
4 Bi 0.500 0.000 0.500
5 Bi 0.500 0.500 0.000

Entry from the Alexandria database: a crystal of ZrS2O relaxed with PBEsol (SCAN).

formation energy (no corrections) = 0.646 eV/atom
density of states at the Fermi level = 8.6 states/eV per cell

abc: 3.155 3.155 22.813
angles: 90.00 90.00 120.00
Positions (direct):
1 Zr 0.000 0.000 0.000
2 Zr 0.333 0.667 0.667
3 Zr 0.667 0.333 0.333
4 S 0.000 0.000 0.105
5 S 0.000 0.000 0.895
6 S 0.333 0.667 0.561
7 S 0.333 0.667 0.772
8 S 0.667 0.333 0.228
9 S 0.667 0.333 0.439
10 O 0.000 0.000 0.500
11 O 0.333 0.667 0.167
12 O 0.667 0.333 0.833

Entry from the Alexandria database: a crystal of LaCoAu relaxed with PBEsol (SCAN).

DFT formation energy = 0.2289 eV/atom
density of states at the Fermi level = 14.6 states/eV per cell

abc: 6.676 6.676 6.676
angles: 90.00 90.00 90.00
Positions (direct):
1 La 0.000 0.000 0.000
2 La 0.000 0.500 0.500
3 La 0.500 0.000 0.500
4 La 0.500 0.500 0.000
5 Co 0.250 0.250 0.750
6 Co 0.250 0.750 0.250
7 Co 0.750 0.250 0.250
8 Co 0.750 0.750 0.750
9 Au 0.250 0.250 0.250
10 Au 0.250 0.750 0.750
11 Au 0.750 0.250 0.750
12 Au 0.750 0.750 0.250